DFT (PBE) results for crystalline SbRuSe2 at its relaxed geometry.

Properties
The volume is 192 Å³/cell. The uncorrected formation energy comes out at 0.0700 eV/atom. The magnetization is 0.0 μB per formula unit.

a b c (Å): 3.665 4.261 12.306
angles (deg): 90.00 90.00 90.00
Space group Immm (No. 71)
Symmetry-distinct sites (fractional):
1 Sb 0.000 0.000 0.000
2 Ru 0.000 0.000 0.500
3 Se 0.000 0.500 0.151



DFT (PBE) results for crystalline SbRuSe2 at its relaxed geometry.

Properties
The volume is 83 Å³/cell. The uncorrected formation energy comes out at 0.3652 eV/atom. The magnetization is 0.8 μB per formula unit.

a b c (Å): 4.331 3.515 5.474
angles (deg): 90.00 90.32 90.00
Space group P2/m (No. 10)
Symmetry-distinct sites (fractional):
1 Sb 0.000 0.000 0.000
2 Ru 0.500 0.500 0.500
3 Se 0.000 0.000 0.500
4 Se 0.500 0.500 0.000